The following is a DFT calculation (PBE) of a relaxed structure of FeSbOsW.

## Properties
The value obtained for the calculated density is 14.72 g/cm3. As for the total energy: -0.63828 Ry per atom. Its crystal system is cubic. The space-group type is No. 216.

Cell lengths 4.4485, 4.4485, 4.4485 Å; angles 60.00, 60.00, 60.00 degrees
Last column: nearest neighbours and their distance in Å.
Positions (direct):
Fe1 0.7500 0.7500 0.7500  4 W 2.72, 4 Sb 2.72
Os1 0.2500 0.2500 0.2500  4 W 2.72, 4 Sb 2.72
Sb1 0.0000 0.0000 0.0000  4 Os 2.72, 4 Fe 2.72
W1 0.5000 0.5000 0.5000  4 Fe 2.72, 4 Os 2.72